First-principles (PBE) data for an optimized crystal structure of ErLuIrPt, as listed in Alexandria.

a = 4.8208 Å, b = 4.8208 Å, c = 4.8208 Å
α = 60.00°, β = 60.00°, γ = 60.00°
With the nearest neighbours (Å) after each atom.
Sites, in units of the cell vectors:
Pt 0.7500 0.7500 0.7500  4 Er 2.95, 4 Lu 2.95
Lu 0.0000 0.0000 0.0000  4 Ir 2.95, 4 Pt 2.95
Er 0.5000 0.5000 0.5000  4 Pt 2.95, 4 Ir 2.95
Ir 0.2500 0.2500 0.2500  4 Er 2.95, 4 Lu 2.95

Output
SG: F-43m
Size of the total moment in μB/f.u.: 0.00
Formation energy in kcal/mol of atoms: -25.371
DOS at the Fermi energy in states/eV/cell: 2.1

First-principles (PBE) data for an optimized crystal structure of ErLuTlIr, as listed in Alexandria.

a = 5.0241 Å, b = 5.0241 Å, c = 5.0241 Å
α = 60.00°, β = 60.00°, γ = 60.00°
With the nearest neighbours (Å) after each atom.
Sites, in units of the cell vectors:
Er 0.5000 0.5000 0.5000  4 Ir 3.08, 4 Tl 3.08
Ir 0.7500 0.7500 0.7500  4 Er 3.08, 4 Lu 3.08
Tl 0.2500 0.2500 0.2500  4 Lu 3.08, 4 Er 3.08
Lu 0.0000 0.0000 0.0000  4 Tl 3.08, 4 Ir 3.08

Output
SG: F-43m
Size of the total moment in μB/f.u.: 0.00
Formation energy in kcal/mol of atoms: -12.038
DOS at the Fermi energy in states/eV/cell: 1.2

First-principles (PBE) data for an optimized crystal structure of Er3MgIr2, as listed in Alexandria.

a = 6.5704 Å, b = 6.9643 Å, c = 8.0861 Å
α = 115.51°, β = 113.97°, γ = 90.00°
With the nearest neighbours (Å) after each atom.
Sites, in units of the cell vectors:
Ir 0.5700 0.3620 0.7241  1 Mg 2.63, 6 Er 2.82-2.86
Ir 0.4300 0.6380 0.2759  1 Mg 2.63, 6 Er 2.82-2.86
Er 0.7765 0.0265 0.5529  4 Ir 2.82-2.86
Mg 0.0000 0.0000 0.0000  2 Ir 2.63
Er 0.2235 0.9735 0.4471  4 Ir 2.82-2.86
Ir 0.8459 0.1380 0.2759  1 Mg 2.63, 6 Er 2.82-2.86
Er 0.5000 0.7500 0.0000  4 Ir 2.85
Er 0.2235 0.4735 0.4471  4 Ir 2.82-2.86
Er 0.5000 0.2500 0.0000  4 Ir 2.85
Er 0.7765 0.5265 0.5529  4 Ir 2.82-2.86
Mg 0.0000 0.5000 0.0000  2 Ir 2.63
Ir 0.1541 0.8620 0.7241  1 Mg 2.63, 6 Er 2.82-2.86

Output
SG: Ibam
Size of the total moment in μB/f.u.: 0.00
Formation energy in kcal/mol of atoms: -15.674
DOS at the Fermi energy in states/eV/cell: 4.8

The highest DOS at the Fermi energy belongs to which entry?
Er3MgIr2

What is the formation energy in the first record?
-25.371 kcal/mol of atoms